Entry 1:
DFT (GGA-PBEsol) results for a relaxed structure of MgNiNO2.

Unit cell a=3.757 b=3.757 c=4.031 alpha=90.00 beta=90.00 gamma=90.00
Space group P4/mmm (No. 123)
Inequivalent atoms, fractional coordinates:
Mg  0.000  0.000  0.000
Ni  0.500  0.500  0.500
N  0.000  0.000  0.500
O  0.000  0.500  0.000

Output
ΔE_f (raw) = 577 meV/atom
Calculated density = 3.76 g/cm³

---

Entry 2:
DFT (GGA-PBEsol) results for a relaxed structure of RhPb5.

Unit cell a=3.387 b=3.387 c=13.462 alpha=90.00 beta=90.00 gamma=90.00
Space group P4/mmm (No. 123)
Inequivalent atoms, fractional coordinates:
Rh  0.000  0.000  0.000
Pb  0.000  0.000  0.315
Pb  0.500  0.500  0.122
Pb  0.500  0.500  0.500

Output
Calculated density = 12.25 g/cm³
Polymorph energy (0 for the lowest one) = 0.0 meV per atom
E_form = 0.0258 eV/atom

---

Entry 3:
DFT (GGA-PBEsol) results for a relaxed structure of CuNi2Br.

Unit cell a=5.718 b=5.848 c=3.023 alpha=90.00 beta=90.00 gamma=90.00
Space group Cmmm (No. 65)
Inequivalent atoms, fractional coordinates:
Cu  0.000  0.000  0.000
Ni  0.250  0.250  0.500
Br  0.000  0.500  0.000

Output
ΔE_f (raw) = 489 meV/atom
Calculated density = 8.57 g/cm³
Polymorph energy (0 for the lowest one) = 0.0 meV per atom

---

Entry 4:
DFT (GGA-PBEsol) results for a relaxed structure of Cu2PAu.

Unit cell a=2.904 b=4.019 c=4.640 alpha=90.00 beta=90.00 gamma=90.00
Space group Pmm2 (No. 25)
Inequivalent atoms, fractional coordinates:
Cu  0.000  0.000  0.000
Cu  0.000  0.500  0.308
P  0.500  0.000  0.417
Au  0.500  0.500  0.794

Output
Calculated density = 10.89 g/cm³
E_form = 0.0825 eV/atom

---

Entry 5:
DFT (GGA-PBEsol) results for a relaxed structure of MgAs2SBr.

Unit cell a=4.821 b=4.821 c=4.954 alpha=90.00 beta=90.00 gamma=90.00
Space group P4/mmm (No. 123)
Inequivalent atoms, fractional coordinates:
Mg  0.000  0.000  0.000
As  0.000  0.500  0.500
S  0.500  0.500  0.500
Br  0.500  0.500  0.000

Output
ΔE_f (raw) = 392 meV/atom
Calculated density = 4.13 g/cm³

---

Entry 6:
DFT (GGA-PBEsol) results for a relaxed structure of Cs2YCuI6.

Unit cell a=11.596 b=11.596 c=11.596 alpha=90.00 beta=90.00 gamma=90.00
Space group Fm-3m (No. 225)
Inequivalent atoms, fractional coordinates:
Cs  0.250  0.250  0.250
Y  0.000  0.000  0.000
Cu  0.000  0.000  0.500
I  0.000  0.000  0.258

Output
ΔE_f (raw) = -1164 meV/atom
Calculated density = 5.03 g/cm³

---

Entry 7:
DFT (GGA-PBEsol) results for a relaxed structure of TaAlNi.

Unit cell a=2.830 b=2.830 c=10.383 alpha=90.00 beta=90.00 gamma=90.00
Space group I4mm (No. 107)
Inequivalent atoms, fractional coordinates:
Ta  0.000  0.000  0.000
Al  0.000  0.000  0.691
Ni  0.000  0.000  0.328

Output
Calculated density = 10.65 g/cm³
E_form = -0.4070 eV/atom

---

Entry 8:
DFT (GGA-PBEsol) results for a relaxed structure of MnCuC2.

Unit cell a=5.073 b=5.073 c=5.073 alpha=90.00 beta=90.00 gamma=90.00
Space group Fm-3m (No. 225)
Inequivalent atoms, fractional coordinates:
Mn  0.000  0.000  0.000
Cu  0.000  0.000  0.500
C  0.250  0.250  0.250

Output
Calculated density = 7.25 g/cm³
E_form = 1.4067 eV/atom

---

Entry 9:
DFT (GGA-PBEsol) results for a relaxed structure of CrAuO2.

Unit cell a=2.9849 b=2.9849 c=12.1895 alpha=90.00 beta=90.00 gamma=120.00
Space group P6_3/mmc (No. 194)
Inequivalent atoms, fractional coordinates:
Cr  0.0000  0.0000  0.0000
Au  0.3333  0.6667  0.2500
O  0.3333  0.6667  0.0800

Output
ΔE_f (raw) = -1239 meV/atom
Calculated density = 9.92 g/cm³
Polymorph energy (0 for the lowest one) = 0.1 meV per atom

---

Entry 10:
DFT (GGA-PBEsol) results for a relaxed structure of ZrIn2.

Unit cell a=3.2139 b=3.2139 c=7.5799 alpha=90.00 beta=90.00 gamma=120.00
Space group P-3m1 (No. 164)
Inequivalent atoms, fractional coordinates:
Zr  0.0000  0.0000  0.0000
In  0.3333  0.6667  0.3300

Output
Calculated density = 7.86 g/cm³
E_form = -0.1007 eV/atom

---

Entry 11:
DFT (GGA-PBEsol) results for a relaxed structure of LaCdCuMo2.

Unit cell a=4.623 b=4.623 c=5.204 alpha=90.00 beta=90.00 gamma=90.00
Space group P4/mmm (No. 123)
Inequivalent atoms, fractional coordinates:
La  0.000  0.000  0.000
Cd  0.500  0.500  0.000
Cu  0.000  0.000  0.500
Mo  0.000  0.500  0.500

Output
Calculated density = 7.57 g/cm³
E_form = 1.2286 eV/atom

---

Entry 12:
DFT (GGA-PBEsol) results for a relaxed structure of ZrRh2W.

Unit cell a=4.039 b=4.039 c=3.819 alpha=90.00 beta=90.00 gamma=90.00
Space group P4/mmm (No. 123)
Inequivalent atoms, fractional coordinates:
Zr  0.000  0.000  0.000
Rh  0.000  0.500  0.500
W  0.500  0.500  0.000

Output
Calculated density = 12.82 g/cm³
Polymorph energy (0 for the lowest one) = 0.0 meV per atom
E_form = -0.3108 eV/atom

---

Result set for total energy: -4.80 -4.66 -4.14 -4.51 -3.24 -3.53 -8.01 -6.94 -7.41 -5.12 -5.65 -10.10 eV/atom, one per record in the order listed.
Result set for M_tot: 1.00 0.00 0.00 0.00 0.00 0.00 0.00 0.49 0.75 0.00 0.00 0.00 μB/atom, one per record in the order listed.
Result set for N(E_F): 5.1 4.6 2.9 1.3 4.4 0.0 1.7 2.0 0.0 2.7 5.9 3.3 states/eV/f.u., one per record in the order listed.